1 | DFT (PBE) results for an optimized crystal structure of Hf2AlPb2.

Output
The value obtained for the magnetization is 0.000 μB/f.u.

Cell: 7.7286 7.7286 3.9778 Å, 90.00 90.00 90.00°
Last column: nearest neighbours and their distance in Å.
Space group P4/mbm (No. 127)
Asymmetric unit:
Hf 0.1437 0.3563 0.0000 x4  6 Pb 2.95-3.06, 1 Hf 3.14
Al 0.0000 0.0000 0.5000 x2  4 Pb 2.92
Pb 0.1566 0.6566 0.5000 x4  2 Al 2.92, 6 Hf 2.95-3.06

=====

2 | DFT (PBE) results for an optimized crystal structure of Hf2AlPb2.

Output
The value obtained for the magnetization is 0.000 μB/f.u.

Cell: 7.3431 7.3431 4.4386 Å, 90.00 90.00 90.00°
Last column: nearest neighbours and their distance in Å.
Space group P4/mbm (No. 127)
Asymmetric unit:
Hf 0.1520 0.3480 0.0000 x4  2 Al 2.79, 2 Pb 2.95
Al 0.0000 0.0000 0.0000 x2  4 Hf 2.79
Pb 0.1604 0.6604 0.5000 x4  6 Hf 2.95-3.19

=====

On energetic grounds, 2 is preferred over the next structure by 217 meV per atom.

=====

1 | DFT (PBE) results for an optimized crystal structure of HfAl3Pb.

Output
The value obtained for the magnetization is 0.010 μB/f.u.

Cell: 5.2485 5.2485 5.2485 Å, 90.00 90.00 90.00°
Last column: nearest neighbours and their distance in Å.
Space group Pm-3m (No. 221)
Asymmetric unit:
Hf 0.0000 0.0000 0.0000 x1  6 Al 2.62
Al 0.0000 0.0000 0.5000 x3  2 Hf 2.62
Pb 0.5000 0.5000 0.5000 x1  12 Al 3.71

=====

2 | DFT (PBE) results for an optimized crystal structure of HfAl3Pb.

Output
The value obtained for the magnetization is 0.000 μB/f.u.

Cell: 5.1752 5.1752 5.1752 Å, 90.00 90.00 90.00°
Last column: nearest neighbours and their distance in Å.
Space group Pm-3m (No. 221)
Asymmetric unit:
Hf 0.0000 0.0000 0.0000 x1  12 Al 3.66
Al 0.0000 0.5000 0.5000 x3  2 Pb 2.59
Pb 0.5000 0.5000 0.5000 x1  6 Al 2.59

=====

On energetic grounds, 1 is preferred over the next structure by 541 meV per atom.

=====

1 | DFT (PBE) results for an optimized crystal structure of Hf2Al2Pb.

Output
The value obtained for the magnetization is 0.000 μB/f.u.

Cell: 7.2093 7.2093 3.9573 Å, 90.00 90.00 90.00°
Last column: nearest neighbours and their distance in Å.
Space group P4/mbm (No. 127)
Asymmetric unit:
Hf 0.1750 0.3250 0.0000 x4  6 Al 2.87-2.94
Al 0.1216 0.6216 0.5000 x4  1 Al 2.48
Pb 0.0000 0.0000 0.5000 x2  4 Al 2.87

=====

2 | DFT (PBE) results for an optimized crystal structure of Hf2Al2Pb.

Output
The value obtained for the magnetization is 0.000 μB/f.u.

Cell: 8.0615 8.0615 3.3321 Å, 90.00 90.00 90.00°
Last column: nearest neighbours and their distance in Å.
Space group P4/mbm (No. 127)
Asymmetric unit:
Hf 0.1298 0.3702 0.0000 x4  6 Al 2.83-2.95, 1 Hf 2.96, 2 Pb 3.16
Al 0.1696 0.6696 0.5000 x4  6 Hf 2.83-2.95
Pb 0.0000 0.0000 0.0000 x2  4 Hf 3.16, 2 Pb 3.33, 8 Al 3.43

=====

On energetic grounds, 1 is preferred over the next structure by 72 meV per atom.